## HfTa2P (GGA-PBE)

Data for HfTa2P after structural relaxation.

The value obtained for the energy of formation is -0.723 eV/atom. For the spin magnetization, the calculation gives 0.000 μB/cell.

The structure belongs to space group Cmcm (No. 63); the cell edges are 3.5191, 9.9062 and 7.9786 Å and the angles 90.00°, 90.00° and 90.00°. The asymmetric unit holds Hf at (0.0000, 0.0433, 0.2500), Ta at (0.0000, 0.3537, 0.0533) and P at (0.0000, 0.2443, 0.7500).

## SrLiCl2 (GGA-PBE)

Data for SrLiCl2 after structural relaxation.

The energy above the lowest structure with this stoichiometry comes out at 14.3 meV per atom. The value obtained for the formation energy from raw total energies is -37.68 kcal/mol of atoms. For the spin magnetization, the calculation gives 1.734 μB/cell.

The structure belongs to space group R-3m (No. 166, hexagonal axes); the cell edges are 4.7210, 4.7210 and 21.7685 Å and the angles 90.00°, 90.00° and 120.00°. The asymmetric unit holds Sr at (0.0000, 0.0000, 0.0000), Li at (0.0000, 0.0000, 0.5000) and Cl at (0.0000, 0.0000, 0.3889).

## ZnIrOs2 (GGA-PBE)

Data for ZnIrOs2 after structural relaxation.

The value obtained for the energy of formation is 0.475 eV/atom. For the spin magnetization, the calculation gives 0.000 μB/cell.

The structure belongs to space group P4/mmm (No. 123); the cell edges are 4.5641, 4.5641 and 2.7852 Å and the angles 90.00°, 90.00° and 90.00°. The asymmetric unit holds Zn at (0.0000, 0.0000, 0.0000), Ir at (0.5000, 0.5000, 0.0000) and Os at (0.0000, 0.5000, 0.5000).

## RbSrNb2Ag (GGA-PBE)

Data for RbSrNb2Ag after structural relaxation.

The value obtained for the energy of formation is 1.474 eV/atom. For the spin magnetization, the calculation gives 3.699 μB/cell.

The structure belongs to space group P4/mmm (No. 123); the cell edges are 5.2636, 5.2636 and 6.1143 Å and the angles 90.00°, 90.00° and 90.00°. The asymmetric unit holds Rb at (0.0000, 0.0000, 0.0000), Sr at (0.5000, 0.5000, 0.0000), Nb at (0.0000, 0.5000, 0.5000) and Ag at (0.0000, 0.0000, 0.5000).